! PaTiBi2 (PBE, relaxed); values from VASP
! Space group: No. 225
! DOS at the Fermi energy, states/eV/f.u.: 3.59
! Energy of formation from the pure elements, eV/atom: -0.03
! Calculated total energy, eV for the cell shown: -25.3
! Total magnetic moment, μB/f.u.: 1.0
! Mass density, g/cm³: 11.483
&SYSTEM
  ibrav = 0, nat = 4, ntyp = 3
/
ATOMIC_SPECIES
Ti 47.87 Ti.upf
Bi 208.98 Bi.upf
Pa 231.04 Pa.upf
ATOMIC_POSITIONS angstrom
Ti 5.223 3.016 2.132
Bi 7.835 4.524 3.199
Bi 2.612 1.508 1.066
Pa 0.000 0.000 0.000
CELL_PARAMETERS angstrom
5.223 0.000 0.000
2.612 4.524 0.000
2.612 1.508 4.265